Record 1
Entry from Alexandria: an optimized crystal structure of Sb2TeIO (PBE).

```
Sb2TeIO
1.0
5.2105 0.0000 0.0000
0.0000 5.2105 0.0000
0.0000 0.0000 4.6202
Sb Te I O
2 1 1 1
direct
0.0000 0.5000 0.0000
0.5000 0.0000 0.0000
0.0000 0.0000 0.5000
0.5000 0.5000 0.5000
0.0000 0.0000 0.0000
```

Output
- uncorrected energy (eV per cell) = -16.62
- crystal system = tetragonal
- relative energy among the computed polymorphs (eV per atom) = 0.0033
- total moment (μB/f.u.) = 0.00
- space group = P4/mmm
- E_form (uncorrected) (eV/atom) = 0.254



Record 2
Entry from Alexandria: an optimized crystal structure of GdFe4Sn (PBE).

```
GdFe4Sn
1.0
0.0000 3.5770 3.5770
3.5770 0.0000 3.5770
3.5770 3.5770 0.0000
Gd Fe Sn
1 4 1
direct
0.0000 0.0000 0.0000
0.1249 0.6250 0.6250
0.6250 0.1249 0.6250
0.6250 0.6250 0.1249
0.6250 0.6250 0.6250
0.2500 0.2500 0.2500
```

Output
- uncorrected energy (eV per cell) = -52.12
- crystal system = cubic
- ΔE_f (eV/atom) = -0.03
- total moment (μB/f.u.) = 14.36
- space group = F-43m



Record 3
Entry from Alexandria: an optimized crystal structure of KTlSb2Pb2 (PBE).

```
KTlSb2Pb2
1.0
5.6411 0.0000 0.0000
-2.8206 4.8854 0.0000
0.0000 0.0000 7.2502
K Tl Sb Pb
1 1 2 2
direct
0.0000 0.0000 0.0000
0.0000 0.0000 0.5000
0.3333 0.6667 0.7335
0.6667 0.3333 0.2665
0.3333 0.6667 0.2990
0.6667 0.3333 0.7010
```

Output
- uncorrected energy (eV per cell) = -20.09
- crystal system = trigonal
- total moment (μB/f.u.) = 0.00
- space group = P-3m1
- E_form (uncorrected) (eV/atom) = -0.161



Record 4
Entry from Alexandria: an optimized crystal structure of CuMoPb4 (PBE).

```
CuMoPb4
1.0
0.0000 4.4573 4.4573
4.4573 0.0000 4.4573
4.4573 4.4573 0.0000
Cu Mo Pb
1 1 4
direct
0.0000 0.0000 0.0000
0.7500 0.7500 0.7500
0.3755 0.3755 0.3755
0.3755 0.3755 0.8736
0.3755 0.8736 0.3755
0.8736 0.3755 0.3755
```

Output
- uncorrected energy (eV per cell) = -23.52
- crystal system = cubic
- ΔE_f (eV/atom) = 1.04
- total moment (μB/f.u.) = 3.75
- space group = F-43m



Record 5
Entry from Alexandria: an optimized crystal structure of LiTlW2 (PBE).

```
LiTlW2
1.0
2.7648 0.0000 0.0000
0.0000 4.6428 0.0000
0.0000 0.0000 5.3857
Li Tl W
1 1 2
direct
0.0000 0.0000 0.0000
0.0000 0.0000 0.5000
0.5000 0.5000 0.2323
0.5000 0.5000 0.7677
```

Output
- uncorrected energy (eV per cell) = -27.12
- crystal system = orthorhombic
- relative energy among the computed polymorphs (eV per atom) = 0.3373
- ΔE_f (eV/atom) = 0.77
- total moment (μB/f.u.) = 0.00
- space group = Pmmm



Record 6
Entry from Alexandria: an optimized crystal structure of Nd8Tl3Cd2 (PBE).

```
Nd8Tl3Cd2
1.0
4.4372 -8.3130 0.0000
4.4372 8.3130 0.0000
0.0000 0.0000 5.7294
Nd Tl Cd
8 3 2
direct
0.1058 0.8942 0.0000
0.1783 0.4101 0.5000
0.3141 0.6859 0.0000
0.4101 0.1783 0.5000
0.5899 0.8217 0.5000
0.6859 0.3141 0.0000
0.8217 0.5899 0.5000
0.8942 0.1058 0.0000
0.0000 0.0000 0.5000
0.3244 0.3244 0.0000
0.6756 0.6756 0.0000
0.2220 0.7780 0.5000
0.7780 0.2220 0.5000
```

Output
- uncorrected energy (eV per cell) = -48.31
- crystal system = orthorhombic
- ΔE_f (eV/atom) = -0.10
- total moment (μB/f.u.) = 1.21
- space group = Cmmm



Record 7
Entry from Alexandria: an optimized crystal structure of Sc4Cd2Ga (PBE).

```
Sc4Cd2Ga
1.0
2.4271 1.4013 7.9469
-2.4271 1.4013 7.9469
0.0000 -2.8025 7.9469
Sc Cd Ga
4 2 1
direct
0.1229 0.1229 0.1229
0.3740 0.3740 0.3740
0.6260 0.6260 0.6260
0.8771 0.8771 0.8771
0.2497 0.2497 0.2497
0.7503 0.7503 0.7503
0.5000 0.5000 0.5000
```

Output
- uncorrected energy (eV per cell) = -31.37
- crystal system = trigonal
- ΔE_f (eV/atom) = -0.17
- total moment (μB/f.u.) = 0.01
- space group = R-3m



Record 8
Entry from Alexandria: an optimized crystal structure of K2Pb2O5 (PBE).

```
K2Pb2O5
1.0
6.3666 -2.0666 0.0000
6.3666 2.0666 0.0000
-1.1147 0.0000 7.0022
K Pb O
2 2 5
direct
0.1202 0.1202 0.3672
0.8798 0.8798 0.6328
0.3560 0.3560 0.1127
0.6440 0.6440 0.8873
0.1796 0.1796 0.0042
0.3600 0.3600 0.3991
0.5000 0.5000 0.0000
0.6400 0.6400 0.6009
0.8204 0.8204 0.9958
```

Output
- uncorrected energy (eV per cell) = -43.66
- crystal system = monoclinic
- total moment (μB/f.u.) = 0.13
- space group = C2/m
- E_form (uncorrected) (eV/atom) = -1.028



Record 9
Entry from Alexandria: an optimized crystal structure of Ag2SnBi (PBE).

```
Ag2SnBi
1.0
4.6786 0.0000 0.0000
0.0000 4.6786 0.0000
0.0000 0.0000 4.3245
Ag Sn Bi
2 1 1
direct
0.0000 0.5000 0.0000
0.5000 0.0000 0.0000
0.0000 0.0000 0.5000
0.5000 0.5000 0.5000
```

Output
- uncorrected energy (eV per cell) = -13.19
- crystal system = tetragonal
- ΔE_f (eV/atom) = 0.10
- total moment (μB/f.u.) = 0.00
- space group = P4/mmm



Record 10
Entry from Alexandria: an optimized crystal structure of CdAgMo2 (PBE).

```
CdAgMo2
1.0
-1.6231 2.4301 4.5621
1.6231 -2.4301 4.5621
1.6231 2.4301 -4.5621
Cd Ag Mo
1 1 2
direct
0.0000 0.0000 0.0000
0.7409 0.2409 0.5000
0.2749 0.7749 0.5000
0.4736 0.4736 0.0000
```

Output
- uncorrected energy (eV per cell) = -23.63
- crystal system = orthorhombic
- ΔE_f (eV/atom) = 0.45
- total moment (μB/f.u.) = 0.00
- space group = Imm2



Record 11
Entry from Alexandria: an optimized crystal structure of Ca3Be2Si3 (PBE).

```
Ca3Be2Si3
1.0
1.9722 -5.4620 0.0000
1.9722 5.4620 0.0000
0.0000 0.0000 14.9738
Ca Be Si
6 4 6
direct
0.0359 0.9641 0.7500
0.3447 0.6553 0.5944
0.3447 0.6553 0.9056
0.6553 0.3447 0.0944
0.6553 0.3447 0.4056
0.9641 0.0359 0.2500
0.3688 0.6312 0.1190
0.3688 0.6312 0.3810
0.6312 0.3688 0.6190
0.6312 0.3688 0.8810
0.0728 0.9272 0.5589
0.0728 0.9272 0.9411
0.2510 0.7490 0.2500
0.7490 0.2510 0.7500
0.9272 0.0728 0.0589
0.9272 0.0728 0.4411
```

Output
- uncorrected energy (eV per cell) = -64.82
- crystal system = orthorhombic
- total moment (μB/f.u.) = 0.00
- space group = Cmcm
- E_form (uncorrected) (eV/atom) = -0.336



Record 12
Entry from Alexandria: an optimized crystal structure of AgPd5Pb (PBE).

```
AgPd5Pb
1.0
3.9573 0.0000 0.0000
0.0000 3.9573 0.0000
0.0000 0.0000 8.0781
Ag Pd Pb
1 5 1
direct
0.0000 0.0000 0.0000
0.0000 0.5000 0.2542
0.0000 0.5000 0.7458
0.5000 0.0000 0.2542
0.5000 0.0000 0.7458
0.5000 0.5000 0.0000
0.5000 0.5000 0.5000
```

Output
- uncorrected energy (eV per cell) = -33.02
- crystal system = tetragonal
- relative energy among the computed polymorphs (eV per atom) = 0.0000
- ΔE_f (eV/atom) = -0.07
- total moment (μB/f.u.) = 0.00
- space group = P4/mmm



Q: Among the records above, which one has the lowest uncorrected energy?
A: Ca3Be2Si3